(1)
This record from Alexandria via LeMat-Bulk describes a relaxed structure of Co2TcRh. The functional is PBE-GGA.

Properties
energy relative to the lowest polymorph listed for this composition: 0.000 eV/atom
formation enthalpy at 0 K: 3 kJ/mol of atoms
total DFT energy (no corrections): -7.948 eV/atom
crystal system: tetragonal
symmetry: P4mm, No. 99

a b c (Å): 2.656 2.656 7.180
angles (deg): 90.00 90.00 90.00
Positions (direct):
1 Co 0.000 0.000 0.000
2 Co 0.500 0.500 0.221
3 Tc 0.500 0.500 0.750
4 Rh 0.000 0.000 0.478

(2)
This record from Alexandria via LeMat-Bulk describes a relaxed structure of Nd3PbC. The functional is PBE-GGA.

Properties
energy relative to the lowest polymorph listed for this composition: 0.000 eV/atom
formation enthalpy at 0 K: -39 kJ/mol of atoms
total DFT energy (no corrections): -5.849 eV/atom
crystal system: cubic
symmetry: Pm-3m, No. 221

a b c (Å): 5.137 5.137 5.137
angles (deg): 90.00 90.00 90.00
Positions (direct):
1 Nd 0.000 0.000 0.500
2 Nd 0.000 0.500 0.000
3 Nd 0.500 0.000 0.000
4 Pb 0.500 0.500 0.500
5 C 0.000 0.000 0.000

| no. | calculated volume (Å³/cell) |
| --- | --- |
| 1 | 50.7 |
| 2 | 135.6 |